Compound: B7C5
Source: the Alexandria database
Functional: PBE
Structure: optimized geometry

```
B7C5
1.0
2.5545 0.0000 0.0000
0.0000 2.3969 0.0000
0.0000 0.0000 13.3778
B C
7 5
Direct
0.5000 0.5000 0.8400 B
0.5000 0.0000 0.9414 B
0.5000 0.5000 0.4861 B
0.0000 0.0000 0.6402 B
0.0000 0.5000 0.7433 B
0.5000 0.5000 0.1620 B
0.5000 0.0000 0.2657 B
0.5000 0.0000 0.5702 C
0.0000 0.0000 0.3417 C
0.0000 0.5000 0.4052 C
0.0000 0.0000 0.0204 C
0.0000 0.5000 0.0839 C
```

Values from the calculation:
**Calculated total energy**: -7.370 eV/atom
**ΔE to the lowest computed polymorph**: 204 meV per atom
**Volume**: 81.91 Å³/f.u.
**Formation energy**: 4.422 eV per formula unit